! Pr3Cd3Ga8 PBE-GGA relaxed; values from VASP
! Energy of formation from the pure elements ... -0.440 eV per atom
! Symmetry ... Immm, No. 71
! Magnetization ... 0.0 μB/f.u.
! Theoretical density ... 7.25 Mg/m³
&SYSTEM
  ibrav = 0, nat = 14, ntyp = 3
/
ATOMIC_SPECIES
Pr 140.91 Pr.upf
Cd 112.41 Cd.upf
Ga 69.72 Ga.upf
CELL_PARAMETERS angstrom
-1.812 3.554 1.771
-4.948 -3.085 6.509
4.379 1.191 7.468
ATOMIC_POSITIONS angstrom
Pr -1.190 0.830 7.874
Pr -1.573 2.510 4.110
Pr -0.807 -0.849 11.638
Cd -0.906 1.777 0.885
Cd -2.957 -2.172 6.714
Cd 2.388 0.279 7.263
Ga 1.163 2.821 6.286
Ga -3.544 -1.160 9.461
Ga -3.920 0.490 5.763
Ga 1.540 1.171 9.984
Ga -3.068 1.187 10.616
Ga 0.687 0.474 5.132
Ga -0.722 2.263 10.857
Ga -1.659 -0.602 4.890


! K3NaPt PBE-GGA relaxed; values from VASP
! Relative energy among the computed polymorphs ... 0.00 eV/f.u.
! Energy of formation from the pure elements ... 0.047 eV per atom
! Symmetry ... Pm-3m, No. 221
! Magnetization ... 0.0 μB/f.u.
! Theoretical density ... 2.25 Mg/m³
&SYSTEM
  ibrav = 0, nat = 5, ntyp = 3
/
ATOMIC_SPECIES
Na 22.99 Na.upf
K 39.10 K.upf
Pt 195.08 Pt.upf
CELL_PARAMETERS angstrom
6.275 0.000 0.000
0.000 6.275 0.000
0.000 0.000 6.275
ATOMIC_POSITIONS angstrom
Na 3.137 3.137 3.137
K 0.000 3.137 0.000
K 0.000 0.000 3.137
K 3.137 0.000 0.000
Pt 0.000 0.000 0.000


! AgPSe PBE-GGA relaxed; values from VASP
! Total energy ... -3.499 eV per atom
! Symmetry ... P-6m2, No. 187
! Magnetization ... 0.0 μB/f.u.
! Theoretical density ... 6.28 Mg/m³
&SYSTEM
  ibrav = 0, nat = 3, ntyp = 3
/
ATOMIC_SPECIES
Ag 107.87 Ag.upf
P 30.97 P.upf
Se 78.96 Se.upf
CELL_PARAMETERS angstrom
-0.688 0.353 4.899
0.277 -4.461 -2.150
2.677 -0.015 0.377
ATOMIC_POSITIONS angstrom
Ag 0.891 -0.005 0.125
P 0.847 -2.861 0.325
Se 0.528 -1.257 2.675